{
  "formula": "CePmGeH",
  "functional": "PBE-GGA",
  "state": "relaxed",
  "m_tot_mub_per_cell": 0.0,
  "e_tot_ev_per_cell": -42.733,
  "cell": [[4.169, 0.000, 0.000], [0.000, 4.169, 0.000], [0.000, 0.000, 9.043]],
  "species": ["Ce", "Ce", "Pm", "Pm", "Ge", "Ge", "H", "H"],
  "frac_coords": [[0.250, 0.750, 0.000], [0.750, 0.250, 0.000], [0.250, 0.250, 0.374], [0.750, 0.750, 0.626], [0.250, 0.250, 0.754], [0.750, 0.750, 0.246], [0.250, 0.750, 0.500], [0.750, 0.250, 0.500]]
}